{
  "formula": "KLaSeF2",
  "functional": "PBE",
  "state": "optimized geometry",
  "space_group": "P4/mmm, No. 123",
  "formation_energy_uncorrected_mev_per_atom": -2891,
  "energy_ev_per_fu": -27.71,
  "dos_ef_per_ev_cell": 0.0,
  "crystal_system": "tetragonal",
  "lattice_angstrom": [[4.739, 0.000, 0.000], [0.000, 4.739, 0.000], [0.000, 0.000, 5.959]],
  "species": ["K", "La", "Se", "F", "F"],
  "frac_coords": [[0.000, 0.000, 0.000], [0.500, 0.500, 0.500], [0.500, 0.500, 0.000], [0.000, 0.500, 0.500], [0.500, 0.000, 0.500]]
}